{
  "formula": "NaPaTl",
  "functional": "GGA-PBE",
  "state": "optimized geometry",
  "total_energy_ry_per_atom": -0.245,
  "lattice": [[0.000, 3.645, 3.645], [3.645, 0.000, 3.645], [3.645, 3.645, 0.000]],
  "species": ["Pa", "Na", "Tl"],
  "fractional_positions": [[0.000, 0.000, 0.000], [0.250, 0.250, 0.250], [0.750, 0.750, 0.750]]
}